This record from Alexandria via LeMat-Bulk describes a PBEsol-optimized structure of ScZnSnPd2. The functional is meta-GGA SCAN.

Geometry as CIF:
```
data_ScZnSnPd2
_chemical_formula_sum 'Sc1 Zn1 Sn1 Pd2'
_cell_length_a 4.7167
_cell_length_b 4.7167
_cell_length_c 4.9909
_cell_angle_alpha 90.00
_cell_angle_beta 90.00
_cell_angle_gamma 90.00
_space_group_name_H-M_alt 'P 1'
_space_group_IT_number 1
loop_
_space_group_symop_operation_xyz
'x,y,z'
loop_
_atom_site_label
_atom_site_type_symbol
_atom_site_fract_x
_atom_site_fract_y
_atom_site_fract_z
Sc1 Sc 0.0000 0.0000 0.0000
Zn1 Zn 0.0000 0.0000 0.5000
Sn1 Sn 0.5000 0.5000 0.5000
Pd1 Pd 0.0000 0.5000 0.0000
Pd2 Pd 0.5000 0.0000 0.0000
```

Properties
size of the total moment: 0.0 μB per cell
electronic total energy: -25.35 eV/atom
symmetry: No. 123
energy relative to the elements: 47.44 kJ/mol of atoms

This record from Alexandria via LeMat-Bulk describes a PBEsol-optimized structure of SrSc2Pd2. The functional is meta-GGA SCAN.

Geometry as CIF:
```
data_SrSc2Pd2
_chemical_formula_sum 'Sr1 Sc2 Pd2'
_cell_length_a 6.6494
_cell_length_b 6.6494
_cell_length_c 6.6494
_cell_angle_alpha 141.10
_cell_angle_beta 141.10
_cell_angle_gamma 56.19
_space_group_name_H-M_alt 'P 1'
_space_group_IT_number 1
loop_
_space_group_symop_operation_xyz
'x,y,z'
loop_
_atom_site_label
_atom_site_type_symbol
_atom_site_fract_x
_atom_site_fract_y
_atom_site_fract_z
Sr1 Sr 0.0000 0.0000 0.0000
Sc1 Sc 0.2500 0.7500 0.5000
Sc2 Sc 0.7500 0.2500 0.5000
Pd1 Pd 0.3835 0.3835 0.0000
Pd2 Pd 0.6165 0.6165 0.0000
```

Properties
size of the total moment: 0.0 μB per cell
electronic total energy: -23.99 eV/atom
symmetry: No. 139
energy relative to the elements: -70.26 kJ/mol of atoms

This record from Alexandria via LeMat-Bulk describes a PBEsol-optimized structure of SrSc3Pd. The functional is meta-GGA SCAN.

Geometry as CIF:
```
data_SrSc3Pd
_chemical_formula_sum 'Sr1 Sc3 Pd1'
_cell_length_a 4.8689
_cell_length_b 4.8689
_cell_length_c 4.8689
_cell_angle_alpha 90.00
_cell_angle_beta 90.00
_cell_angle_gamma 90.00
_space_group_name_H-M_alt 'P 1'
_space_group_IT_number 1
loop_
_space_group_symop_operation_xyz
'x,y,z'
loop_
_atom_site_label
_atom_site_type_symbol
_atom_site_fract_x
_atom_site_fract_y
_atom_site_fract_z
Sr1 Sr 0.0000 0.0000 0.0000
Sc1 Sc 0.0000 0.0000 0.5000
Sc2 Sc 0.0000 0.5000 0.0000
Sc3 Sc 0.5000 0.0000 0.0000
Pd1 Pd 0.5000 0.5000 0.5000
```

Properties
size of the total moment: 0.0 μB per cell
electronic total energy: -18.13 eV/atom
symmetry: No. 221
energy relative to the elements: 137.19 kJ/mol of atoms

This record from Alexandria via LeMat-Bulk describes a PBEsol-optimized structure of Sr2ScPd. The functional is meta-GGA SCAN.

Geometry as CIF:
```
data_Sr2ScPd
_chemical_formula_sum 'Sr2 Sc1 Pd1'
_cell_length_a 5.4422
_cell_length_b 5.4422
_cell_length_c 5.4422
_cell_angle_alpha 60.00
_cell_angle_beta 60.00
_cell_angle_gamma 60.00
_space_group_name_H-M_alt 'P 1'
_space_group_IT_number 1
loop_
_space_group_symop_operation_xyz
'x,y,z'
loop_
_atom_site_label
_atom_site_type_symbol
_atom_site_fract_x
_atom_site_fract_y
_atom_site_fract_z
Sr1 Sr 0.2500 0.2500 0.2500
Sr2 Sr 0.7500 0.7500 0.7500
Sc1 Sc 0.0000 0.0000 0.0000
Pd1 Pd 0.5000 0.5000 0.5000
```

Properties
size of the total moment: 0.0 μB per cell
electronic total energy: -22.67 eV/atom
symmetry: No. 225
energy relative to the elements: 21.07 kJ/mol of atoms

This record from Alexandria via LeMat-Bulk describes a PBEsol-optimized structure of Sc2TePd. The functional is meta-GGA SCAN.

Geometry as CIF:
```
data_Sc2TePd
_chemical_formula_sum 'Sc2 Te1 Pd1'
_cell_length_a 9.0465
_cell_length_b 9.0465
_cell_length_c 9.0465
_cell_angle_alpha 22.45
_cell_angle_beta 22.45
_cell_angle_gamma 22.45
_space_group_name_H-M_alt 'P 1'
_space_group_IT_number 1
loop_
_space_group_symop_operation_xyz
'x,y,z'
loop_
_atom_site_label
_atom_site_type_symbol
_atom_site_fract_x
_atom_site_fract_y
_atom_site_fract_z
Sc1 Sc 0.0916 0.0916 0.0916
Sc2 Sc 0.9084 0.9084 0.9084
Te1 Te 0.5000 0.5000 0.5000
Pd1 Pd 0.0000 0.0000 0.0000
```

Properties
formation energy from raw total energies: -0.180 eV per atom
size of the total moment: 0.0 μB per cell
electronic total energy: -24.81 eV/atom
symmetry: No. 166

This record from Alexandria via LeMat-Bulk describes a PBEsol-optimized structure of ScTiPd3. The functional is meta-GGA SCAN.

Geometry as CIF:
```
data_ScTiPd3
_chemical_formula_sum 'Sc1 Ti1 Pd3'
_cell_length_a 4.6295
_cell_length_b 4.6295
_cell_length_c 4.6295
_cell_angle_alpha 90.00
_cell_angle_beta 90.00
_cell_angle_gamma 90.00
_space_group_name_H-M_alt 'P 1'
_space_group_IT_number 1
loop_
_space_group_symop_operation_xyz
'x,y,z'
loop_
_atom_site_label
_atom_site_type_symbol
_atom_site_fract_x
_atom_site_fract_y
_atom_site_fract_z
Sc1 Sc 0.0000 0.0000 0.0000
Ti1 Ti 0.5000 0.5000 0.5000
Pd1 Pd 0.0000 0.0000 0.5000
Pd2 Pd 0.0000 0.5000 0.0000
Pd3 Pd 0.5000 0.0000 0.0000
```

Properties
size of the total moment: 2.2 μB per cell
electronic total energy: -25.36 eV/atom
symmetry: No. 221
energy relative to the elements: 34.13 kJ/mol of atoms

This record from Alexandria via LeMat-Bulk describes a PBEsol-optimized structure of ScPdW3. The functional is meta-GGA SCAN.

Geometry as CIF:
```
data_ScPdW3
_chemical_formula_sum 'Sc1 Pd1 W3'
_cell_length_a 4.5023
_cell_length_b 4.5023
_cell_length_c 4.5023
_cell_angle_alpha 90.00
_cell_angle_beta 90.00
_cell_angle_gamma 90.00
_space_group_name_H-M_alt 'P 1'
_space_group_IT_number 1
loop_
_space_group_symop_operation_xyz
'x,y,z'
loop_
_atom_site_label
_atom_site_type_symbol
_atom_site_fract_x
_atom_site_fract_y
_atom_site_fract_z
Sc1 Sc 0.0000 0.0000 0.0000
Pd1 Pd 0.5000 0.5000 0.5000
W1 W 0.0000 0.0000 0.5000
W2 W 0.0000 0.5000 0.0000
W3 W 0.5000 0.0000 0.0000
```

Properties
size of the total moment: 0.0 μB per cell
electronic total energy: -48.57 eV/atom
symmetry: No. 221
energy relative to the elements: 255.42 kJ/mol of atoms

This record from Alexandria via LeMat-Bulk describes a PBEsol-optimized structure of Y2ScPd2. The functional is meta-GGA SCAN.

Geometry as CIF:
```
data_Y2ScPd2
_chemical_formula_sum 'Y2 Sc1 Pd2'
_cell_length_a 8.1373
_cell_length_b 8.1373
_cell_length_c 8.1373
_cell_angle_alpha 152.00
_cell_angle_beta 152.00
_cell_angle_gamma 40.02
_space_group_name_H-M_alt 'P 1'
_space_group_IT_number 1
loop_
_space_group_symop_operation_xyz
'x,y,z'
loop_
_atom_site_label
_atom_site_type_symbol
_atom_site_fract_x
_atom_site_fract_y
_atom_site_fract_z
Y1 Y 0.1203 0.1203 0.0000
Y2 Y 0.8797 0.8797 0.0000
Sc1 Sc 0.5000 0.5000 0.0000
Pd1 Pd 0.2500 0.7500 0.5000
Pd2 Pd 0.7500 0.2500 0.5000
```

Properties
size of the total moment: 0.0 μB per cell
electronic total energy: -27.41 eV/atom
symmetry: No. 139
energy relative to the elements: -30.00 kJ/mol of atoms

This record from Alexandria via LeMat-Bulk describes a PBEsol-optimized structure of Y2ScPd2. The functional is meta-GGA SCAN.

Geometry as CIF:
```
data_Y2ScPd2
_chemical_formula_sum 'Y2 Sc1 Pd2'
_cell_length_a 6.4865
_cell_length_b 6.4865
_cell_length_c 6.4865
_cell_angle_alpha 138.28
_cell_angle_beta 138.28
_cell_angle_gamma 60.48
_space_group_name_H-M_alt 'P 1'
_space_group_IT_number 1
loop_
_space_group_symop_operation_xyz
'x,y,z'
loop_
_atom_site_label
_atom_site_type_symbol
_atom_site_fract_x
_atom_site_fract_y
_atom_site_fract_z
Y1 Y 0.2500 0.7500 0.5000
Y2 Y 0.7500 0.2500 0.5000
Sc1 Sc 0.0000 0.0000 0.0000
Pd1 Pd 0.3890 0.3890 0.0000
Pd2 Pd 0.6110 0.6110 0.0000
```

Properties
size of the total moment: 0.0 μB per cell
electronic total energy: -27.55 eV/atom
symmetry: No. 139
energy relative to the elements: -43.55 kJ/mol of atoms

This record from Alexandria via LeMat-Bulk describes a PBEsol-optimized structure of YSc2Pd2. The functional is meta-GGA SCAN.

Geometry as CIF:
```
data_YSc2Pd2
_chemical_formula_sum 'Y2 Sc4 Pd4'
_cell_length_a 7.5289
_cell_length_b 7.5289
_cell_length_c 3.5831
_cell_angle_alpha 90.00
_cell_angle_beta 90.00
_cell_angle_gamma 90.00
_space_group_name_H-M_alt 'P 1'
_space_group_IT_number 1
loop_
_space_group_symop_operation_xyz
'x,y,z'
loop_
_atom_site_label
_atom_site_type_symbol
_atom_site_fract_x
_atom_site_fract_y
_atom_site_fract_z
Y1 Y 0.0000 0.0000 0.0000
Y2 Y 0.5000 0.5000 0.0000
Sc1 Sc 0.1567 0.3433 0.5000
Sc2 Sc 0.3433 0.8433 0.5000
Sc3 Sc 0.6567 0.1567 0.5000
Sc4 Sc 0.8433 0.6567 0.5000
Pd1 Pd 0.1336 0.6336 0.0000
Pd2 Pd 0.3664 0.1336 0.0000
Pd3 Pd 0.6336 0.8664 0.0000
Pd4 Pd 0.8664 0.3664 0.0000
```

Properties
size of the total moment: 0.0 μB per cell
electronic total energy: -25.14 eV/atom
symmetry: No. 127
energy relative to the elements: -74.45 kJ/mol of atoms

This record from Alexandria via LeMat-Bulk describes a PBEsol-optimized structure of Y3ScPd. The functional is meta-GGA SCAN.

Geometry as CIF:
```
data_Y3ScPd
_chemical_formula_sum 'Y3 Sc1 Pd1'
_cell_length_a 5.1910
_cell_length_b 5.1910
_cell_length_c 5.1910
_cell_angle_alpha 90.00
_cell_angle_beta 90.00
_cell_angle_gamma 90.00
_space_group_name_H-M_alt 'P 1'
_space_group_IT_number 1
loop_
_space_group_symop_operation_xyz
'x,y,z'
loop_
_atom_site_label
_atom_site_type_symbol
_atom_site_fract_x
_atom_site_fract_y
_atom_site_fract_z
Y1 Y 0.0000 0.0000 0.5000
Y2 Y 0.0000 0.5000 0.0000
Y3 Y 0.5000 0.0000 0.0000
Sc1 Sc 0.0000 0.0000 0.0000
Pd1 Pd 0.5000 0.5000 0.5000
```

Properties
size of the total moment: 0.7 μB per cell
electronic total energy: -25.27 eV/atom
symmetry: No. 221
energy relative to the elements: 81.24 kJ/mol of atoms

This record from Alexandria via LeMat-Bulk describes a PBEsol-optimized structure of Y2ScPd2. The functional is meta-GGA SCAN.

Geometry as CIF:
```
data_Y2ScPd2
_chemical_formula_sum 'Y4 Sc2 Pd4'
_cell_length_a 7.4151
_cell_length_b 7.4151
_cell_length_c 3.9809
_cell_angle_alpha 90.00
_cell_angle_beta 90.00
_cell_angle_gamma 90.00
_space_group_name_H-M_alt 'P 1'
_space_group_IT_number 1
loop_
_space_group_symop_operation_xyz
'x,y,z'
loop_
_atom_site_label
_atom_site_type_symbol
_atom_site_fract_x
_atom_site_fract_y
_atom_site_fract_z
Y1 Y 0.1693 0.3307 0.0000
Y2 Y 0.3307 0.8307 0.0000
Y3 Y 0.6693 0.1693 0.0000
Y4 Y 0.8307 0.6693 0.0000
Sc1 Sc 0.0000 0.0000 0.5000
Sc2 Sc 0.5000 0.5000 0.5000
Pd1 Pd 0.1337 0.6337 0.5000
Pd2 Pd 0.3663 0.1337 0.5000
Pd3 Pd 0.6337 0.8663 0.5000
Pd4 Pd 0.8663 0.3663 0.5000
```

Properties
size of the total moment: 0.0 μB per cell
electronic total energy: -27.93 eV/atom
symmetry: No. 127
energy relative to the elements: -80.28 kJ/mol of atoms